First-principles (GGA-PBE) data for a relaxed V2Ga2Tc crystal, as listed in Alexandria.

The value obtained for the total energy is -6.71 eV/atom. For the energy relative to the lowest polymorph listed for this composition, the calculation gives 326.6 meV/atom. Its formation energy is 0.22 eV per atom.

a = 6.1643 Å, b = 6.1643 Å, c = 4.0820 Å
α = 90.00°, β = 90.00°, γ = 90.00°
Space group P4/mbm (No. 127)
Asymmetric unit:
V: 0.1378 0.3622 0.0000
Ga: 0.1675 0.6675 0.5000
Tc: 0.0000 0.0000 0.0000

---

First-principles (GGA-PBE) data for a relaxed VGaTc crystal, as listed in Alexandria.

The value obtained for the total energy is -7.12 eV/atom. For the energy relative to the lowest polymorph listed for this composition, the calculation gives 701.5 meV/atom. Its formation energy is 0.39 eV per atom.

a = 6.2032 Å, b = 8.2625 Å, c = 7.7774 Å
α = 90.00°, β = 90.00°, γ = 90.00°
Space group Cmce (No. 64)
Asymmetric unit:
V: 0.0000 0.2117 0.0780
Ga: 0.1922 0.0000 0.5000
Tc: 0.0000 0.0618 0.8009

---

First-principles (GGA-PBE) data for a relaxed VGaTc crystal, as listed in Alexandria.

The value obtained for the total energy is -7.70 eV/atom. For the energy relative to the lowest polymorph listed for this composition, the calculation gives 113.4 meV/atom. Its formation energy is -0.20 eV per atom.

a = 4.2692 Å, b = 4.2692 Å, c = 2.6916 Å
α = 90.00°, β = 90.00°, γ = 120.00°
Space group P3m1 (No. 156)
Asymmetric unit:
V: 0.0000 0.0000 0.0000
Ga: 0.6667 0.3333 0.6313
Tc: 0.3333 0.6667 0.2488

---

First-principles (GGA-PBE) data for a relaxed VGaTc crystal, as listed in Alexandria.

The value obtained for the total energy is -7.82 eV/atom. For the energy relative to the lowest polymorph listed for this composition, the calculation gives 0.0 meV/atom. Its formation energy is -0.31 eV per atom.

a = 3.1436 Å, b = 3.1436 Å, c = 8.6055 Å
α = 90.00°, β = 90.00°, γ = 90.00°
Space group I4mm (No. 107)
Asymmetric unit:
V: 0.0000 0.0000 0.0000
Ga: 0.0000 0.0000 0.6757
Tc: 0.0000 0.0000 0.3532